No. 1
Below is a relaxed structure of La2Nd2Zn, with properties calculated at the PBE level.

Calculated values
Its energy of formation from the pure elements is -0.047 eV/atom. As for the volume: 31.54 A^3/atom. The distance to the lowest polymorph of the same formula comes out at 6.7 kJ per mole of atoms.

Lattice parameters (Å, degrees): 8.5810 9.6527 8.3680 90.00 114.47 90.00
Last column: nearest neighbours and their distance in Å.
Space group C2/m (No. 12)
Unique sites:
La: 0.1633 0.0000 0.4120 (multiplicity 4)  2 Zn 3.43, 4 Nd 3.47-3.55, 3 La 3.53-3.67
La: 0.2236 0.5000 0.1263 (multiplicity 4)  2 Zn 3.27, 4 Nd 3.38-3.51, 3 La 3.53-3.57
Nd: 0.0801 0.3083 0.7355 (multiplicity 8)  2 Zn 3.03-3.39, 1 La 3.38
Zn: 0.0000 0.1424 0.0000 (multiplicity 4)  1 Zn 2.75, 2 Nd 3.03

No. 2
Below is a relaxed structure of CaNdSmDy, with properties calculated at the PBE level.

Calculated values
Its energy of formation from the pure elements is 0.049 eV/atom. As for the volume: 35.14 A^3/atom. The distance to the lowest polymorph of the same formula comes out at 0.0 kJ per mole of atoms.

Lattice parameters (Å, degrees): 3.6576 3.6576 10.5056 90.00 90.00 90.00
Last column: nearest neighbours and their distance in Å.
Space group P4mm (No. 99)
Unique sites:
Ca: 0.0000 0.0000 0.0000 (multiplicity 1)  4 Ca 3.66, 4 Sm 3.80, 4 Nd 3.83
Nd: 0.5000 0.5000 0.7313 (multiplicity 1)  4 Dy 3.58, 4 Nd 3.66, 4 Ca 3.83
Sm: 0.5000 0.5000 0.2649 (multiplicity 1)  4 Dy 3.55, 4 Sm 3.66, 4 Ca 3.80
Dy: 0.0000 0.0000 0.4959 (multiplicity 1)  4 Sm 3.55, 4 Nd 3.58, 4 Dy 3.66

No. 3
Below is a relaxed structure of CsRb2PdF6, with properties calculated at the PBE level.

Calculated values
The formation energy (no corrections) comes out at -2164.0 meV/atom. As for the volume: 22.20 A^3/atom. The distance to the lowest polymorph of the same formula comes out at 5.2 kJ per mole of atoms.

Lattice parameters (Å, degrees): 9.6122 9.6122 9.6122 90.00 90.00 90.00
Last column: nearest neighbours and their distance in Å.
Space group Fm-3m (No. 225)
Unique sites:
Cs: 0.0000 0.0000 0.0000 (multiplicity 4)  6 F 2.75
Rb: 0.2500 0.2500 0.2500 (multiplicity 8)  12 F 3.42
Pd: 0.0000 0.0000 0.5000 (multiplicity 4)  6 F 2.06
F: 0.0000 0.0000 0.2857 (multiplicity 24)  1 Pd 2.06

No. 4
Below is a relaxed structure of PrY2CrN4, with properties calculated at the PBE level.

Calculated values
The formation energy (no corrections) comes out at -1224.6 meV/atom. As for the volume: 14.55 A^3/atom.

Lattice parameters (Å, degrees): 3.4261 11.6554 11.6591 90.00 90.00 90.00
Last column: nearest neighbours and their distance in Å.
Space group Cmcm (No. 63)
Unique sites:
Pr: 0.0000 0.0945 0.2500 (multiplicity 4)  6 N 2.67-2.78
Y: 0.0000 0.3692 0.0433 (multiplicity 8)  6 N 2.33-2.51
Cr: 0.0000 0.1682 0.7500 (multiplicity 4)  4 N 1.82-1.99
N: 0.0000 0.0000 0.0000 (multiplicity 4)  4 Y 2.35
N: 0.0000 0.2641 0.6271 (multiplicity 8)  1 Cr 1.82
N: 0.0000 0.4190 0.2500 (multiplicity 4)  2 Cr 1.99

What is the volume in the first record? 31.54 A^3/atom

Please write out number 4 again, unchanged.
Below is a relaxed structure of PrY2CrN4, with properties calculated at the PBE level.

Calculated values
The formation energy (no corrections) comes out at -1224.6 meV/atom. As for the volume: 14.55 A^3/atom.

Lattice parameters (Å, degrees): 3.4261 11.6554 11.6591 90.00 90.00 90.00
Last column: nearest neighbours and their distance in Å.
Space group Cmcm (No. 63)
Unique sites:
Pr: 0.0000 0.0945 0.2500 (multiplicity 4)  6 N 2.67-2.78
Y: 0.0000 0.3692 0.0433 (multiplicity 8)  6 N 2.33-2.51
Cr: 0.0000 0.1682 0.7500 (multiplicity 4)  4 N 1.82-1.99
N: 0.0000 0.0000 0.0000 (multiplicity 4)  4 Y 2.35
N: 0.0000 0.2641 0.6271 (multiplicity 8)  1 Cr 1.82
N: 0.0000 0.4190 0.2500 (multiplicity 4)  2 Cr 1.99

volume of number 2 (CaNdSmDy)? 35.14 A^3/atom